VASP calculation (PBEsol) on a relaxed structure of CaAlBr2.

Results
DOS at the Fermi energy = 2.19 states/eV per cell
Formation energy without anion corrections = -767.0 meV per atom
Energy above the most stable polymorph in this dataset = 0.39 eV/f.u.
Symmetry = I4/mmm, No. 139
Electronic total energy = -13.03 eV per cell

Lattice parameters (Å, degrees): 5.084 5.313 5.084 61.42 90.00 118.58
Sites, in units of the cell vectors:
1 Al 0.000 0.000 0.000
2 Br 0.750 0.500 0.750
3 Br 0.250 0.500 0.250
4 Ca 0.500 0.000 0.500